## Na2Tl6In3 (PBE-GGA)

Data for Na2Tl6In3 after structural relaxation.

Output
Formation enthalpy at 0 K in eV/atom: 0.085
Final energy in eV/atom: -2.1927
Space-group type: P-62m

Cell: 5.9754 8.5356 8.5356 Å, 120.00 90.00 90.00°
Closest atoms and distances in Å follow each position.
Atoms (fractional coordinates):
Na 0.0000 0.3333 0.6667  3 Tl 3.41
Na 0.0000 0.6667 0.3333  3 Tl 3.41
Tl 0.5000 0.5711 0.0000  3 In 3.05-3.17
Tl 0.5000 0.4289 0.4289  3 In 3.05-3.17
Tl 0.0000 0.2245 0.0000  2 In 2.99, 2 Tl 3.32
Tl 0.0000 0.0000 0.2245  2 In 2.99, 2 Tl 3.32
Tl 0.5000 0.0000 0.5711  3 In 3.05-3.17
Tl 0.0000 0.7755 0.7755  2 In 2.99, 2 Tl 3.32
In 0.5000 0.2133 0.0000  5 Tl 2.99-3.17, 2 In 3.15
In 0.5000 0.0000 0.2133  5 Tl 2.99-3.17, 2 In 3.15
In 0.5000 0.7867 0.7867  5 Tl 2.99-3.17, 2 In 3.15



## Na2Tl2In (PBE-GGA)

Data for Na2Tl2In after structural relaxation.

Output
Formation enthalpy at 0 K in eV/atom: -0.058
Polymorph energy (0 for the lowest one) in meV/atom: 53
Final energy in eV/atom: -2.0802
Space-group type: Ibam

Cell: 6.1728 6.2873 8.8420 Å, 110.83 110.43 90.00°
Closest atoms and distances in Å follow each position.
Atoms (fractional coordinates):
Na 0.8948 0.7716 0.7897  3 Tl 3.22-3.47, 2 In 3.25, 3 Na 3.45-3.58
Na 0.1052 0.2284 0.2103  3 Tl 3.22-3.47, 2 In 3.25, 3 Na 3.45-3.58
Na 0.6052 0.9819 0.2103  3 Tl 3.22-3.47, 2 In 3.25, 3 Na 3.45-3.58
Na 0.3948 0.0181 0.7897  3 Tl 3.22-3.47, 2 In 3.25, 3 Na 3.45-3.58
Tl 0.3149 0.4546 0.6298  3 Na 3.22-3.47, 2 In 3.35, 2 Tl 3.55
Tl 0.6851 0.5454 0.3702  3 Na 3.22-3.47, 2 In 3.35, 2 Tl 3.55
Tl 0.1851 0.8248 0.3702  3 Na 3.22-3.47, 2 In 3.35, 2 Tl 3.55
Tl 0.8149 0.1752 0.6298  3 Na 3.22-3.47, 2 In 3.35, 2 Tl 3.55
In 0.7500 0.5000 0.0000  2 In 3.09, 4 Na 3.25, 4 Tl 3.35
In 0.2500 0.5000 0.0000  2 In 3.09, 4 Na 3.25, 4 Tl 3.35



## Na16TlIn12 (PBE-GGA)

Data for Na16TlIn12 after structural relaxation.

Output
Formation enthalpy at 0 K in eV/atom: -0.118
Final energy in eV/atom: -2.0603
Space-group type: Cm

Cell: 10.2433 10.2433 10.1666 Å, 109.52 109.52 109.74°
Closest atoms and distances in Å follow each position.
Atoms (fractional coordinates):
Na 0.3538 0.3538 0.3478  3 Na 3.32-3.55, 1 Tl 3.34, 6 In 3.44-3.58
Na 0.0025 0.0025 0.0013  4 Na 3.54-3.59, 12 In 3.58-3.66
Na 0.0006 0.0006 0.6516  4 Na 3.31-3.54, 6 In 3.50-3.53
Na 0.3118 0.3118 0.7213  5 In 3.28-3.45, 7 Na 3.31-3.60
Na 0.6856 0.4121 0.0038  5 In 3.26-3.49, 6 Na 3.33-3.62, 1 Tl 3.43
Na 0.5892 0.2770 0.5888  5 In 3.27-3.45, 7 Na 3.32-3.62
Na 0.9975 0.6855 0.4067  5 In 3.30-3.46, 6 Na 3.34-3.64, 1 Tl 3.50
Na 0.9988 0.6509 0.0013  4 Na 3.33-3.59, 6 In 3.45-3.55
Na 0.7173 0.3151 0.3109  5 In 3.28-3.53, 6 Na 3.34-3.64, 1 Tl 3.57
Na 0.4087 0.0000 0.6880  5 In 3.27-3.47, 7 Na 3.33-3.60
Na 0.0000 0.4087 0.6880  5 In 3.27-3.47, 7 Na 3.33-3.60
Na 0.3151 0.7173 0.3109  5 In 3.28-3.53, 6 Na 3.34-3.64, 1 Tl 3.57
Na 0.6509 0.9988 0.0013  4 Na 3.33-3.59, 6 In 3.45-3.55
Na 0.6855 0.9975 0.4067  5 In 3.30-3.46, 6 Na 3.34-3.64, 1 Tl 3.50
Na 0.2770 0.5892 0.5888  5 In 3.27-3.45, 7 Na 3.32-3.62
Na 0.4121 0.6856 0.0038  5 In 3.26-3.49, 6 Na 3.33-3.62, 1 Tl 3.43
Tl 0.6030 0.6030 0.2862  5 In 3.22-3.53, 7 Na 3.34-3.57
In 0.8118 0.8118 0.1787  3 In 3.06-3.11, 1 Tl 3.22, 4 Na 3.37-3.41
In 0.6273 0.6273 0.8090  3 In 3.05-3.06, 3 Na 3.28-3.34
In 0.3702 0.1879 0.0024  3 In 3.05-3.12, 3 Na 3.26-3.36
In 0.8190 0.6332 0.6344  3 In 3.05-3.11, 2 Na 3.28-3.38, 1 Tl 3.33
In 0.1846 0.9995 0.3708  3 In 3.06-3.11, 3 Na 3.27-3.35
In 0.3634 0.9940 0.1826  3 In 3.06-3.12, 3 Na 3.30-3.40
In 0.1861 0.8135 0.8125  3 In 3.06-3.12, 3 Na 3.27-3.41
In 0.8135 0.1861 0.8125  3 In 3.06-3.12, 3 Na 3.27-3.41
In 0.9940 0.3634 0.1826  3 In 3.06-3.12, 3 Na 3.30-3.40
In 0.9995 0.1846 0.3708  3 In 3.06-3.11, 3 Na 3.27-3.35
In 0.6332 0.8190 0.6344  3 In 3.05-3.11, 2 Na 3.28-3.38, 1 Tl 3.33
In 0.1879 0.3702 0.0024  3 In 3.05-3.12, 3 Na 3.26-3.36



## Na3Tl3In4 (PBE-GGA)

Data for Na3Tl3In4 after structural relaxation.

Output
Formation enthalpy at 0 K in eV/atom: -0.033
Final energy in eV/atom: -2.2343
Space-group type: Amm2

Cell: 3.8102 8.8731 8.8731 Å, 89.24 90.00 90.00°
Closest atoms and distances in Å follow each position.
Atoms (fractional coordinates):
Na 0.0000 0.5076 0.0048  4 In 3.45-3.58, 6 Tl 3.75-3.80, 2 Na 3.81
Na 0.0000 0.9952 0.4924  4 In 3.45-3.58, 6 Tl 3.75-3.80, 2 Na 3.81
Na 0.5000 0.1723 0.8277  6 In 3.16-3.27
Tl 0.5000 0.8280 0.1720  6 In 3.16-3.29
Tl 0.5000 0.3226 0.3289  6 In 3.16-3.32
Tl 0.5000 0.6711 0.6774  6 In 3.16-3.32
In 0.0000 0.6257 0.3743  1 In 3.13, 6 Tl 3.16-3.32, 2 Na 3.46
In 0.0000 0.3747 0.6253  1 In 3.13, 2 Na 3.16, 4 Tl 3.29
In 0.0000 0.8749 0.8721  4 Tl 3.16-3.29, 1 In 3.20, 4 Na 3.27-3.52
In 0.0000 0.1279 0.1251  4 Tl 3.16-3.29, 1 In 3.20, 4 Na 3.27-3.52



## Na2Tl3In5 (PBE-GGA)

Data for Na2Tl3In5 after structural relaxation.

Output
Formation enthalpy at 0 K in eV/atom: -0.052
Final energy in eV/atom: -2.3947
Space-group type: C2/c

Cell: 6.5887 9.4806 9.4806 Å, 107.42 91.02 91.02°
Closest atoms and distances in Å follow each position.
Atoms (fractional coordinates):
Na 0.8836 0.6243 0.1290  2 Na 3.27-3.33, 5 Tl 3.40-3.62, 5 In 3.50-3.62
Na 0.3836 0.1290 0.6243  2 Na 3.27-3.33, 5 Tl 3.40-3.62, 5 In 3.50-3.62
Na 0.1164 0.3757 0.8710  2 Na 3.27-3.33, 5 Tl 3.40-3.62, 5 In 3.50-3.62
Na 0.6164 0.8710 0.3757  2 Na 3.27-3.33, 5 Tl 3.40-3.62, 5 In 3.50-3.62
Tl 0.6089 0.4742 0.7891  6 In 3.20-3.52, 3 Na 3.47-3.56, 1 Tl 3.54
Tl 0.1089 0.7891 0.4741  6 In 3.20-3.52, 3 Na 3.47-3.56, 1 Tl 3.54
Tl 0.3911 0.5258 0.2109  6 In 3.20-3.52, 3 Na 3.47-3.56, 1 Tl 3.54
Tl 0.8911 0.2109 0.5259  6 In 3.20-3.52, 3 Na 3.47-3.56, 1 Tl 3.54
Tl 0.2500 0.0586 0.9415  6 In 3.22-3.37, 2 Na 3.40
Tl 0.7500 0.9414 0.0585  6 In 3.22-3.37, 2 Na 3.40
In 0.6596 0.2605 0.9935  3 In 3.11-3.25, 4 Tl 3.21-3.32
In 0.1596 0.9935 0.2605  3 In 3.11-3.25, 4 Tl 3.21-3.32
In 0.3404 0.7395 0.0065  3 In 3.11-3.25, 4 Tl 3.21-3.32
In 0.8404 0.0065 0.7395  3 In 3.11-3.25, 4 Tl 3.21-3.32
In 0.9796 0.6936 0.7802  4 In 3.11-3.29, 3 Tl 3.20-3.41
In 0.0204 0.3064 0.2198  4 In 3.11-3.29, 3 Tl 3.20-3.41
In 0.7500 0.5419 0.4581  6 In 3.24-3.53, 4 Tl 3.27-3.52, 2 Na 3.56
In 0.2500 0.4581 0.5419  6 In 3.24-3.53, 4 Tl 3.27-3.52, 2 Na 3.56
In 0.5204 0.2197 0.3064  4 In 3.11-3.29, 3 Tl 3.20-3.41
In 0.4796 0.7803 0.6936  4 In 3.11-3.29, 3 Tl 3.20-3.41



## NaTl7In4 (PBE-GGA)

Data for NaTl7In4 after structural relaxation.

Output
Formation enthalpy at 0 K in eV/atom: -0.023
Polymorph energy (0 for the lowest one) in meV/atom: 0
Final energy in eV/atom: -2.4261
Space-group type: P-3m1

Cell: 5.5053 5.5053 13.3063 Å, 90.00 90.00 120.00°
Closest atoms and distances in Å follow each position.
Atoms (fractional coordinates):
Na 0.0000 0.0000 0.5000  8 Tl 3.27-3.41
Tl 0.0000 0.0000 0.0000  8 Tl 3.38-3.77, 6 In 3.43
Tl 0.3333 0.6667 0.4070  4 In 3.30-3.35, 1 Tl 3.38, 3 Na 3.41
Tl 0.6667 0.3333 0.5930  4 In 3.30-3.35, 1 Tl 3.38, 3 Na 3.41
Tl 0.3333 0.6667 0.1528  4 In 3.26-3.32, 4 Tl 3.38-3.45
Tl 0.6667 0.3333 0.8472  4 In 3.26-3.32, 4 Tl 3.38-3.45
Tl 0.0000 0.0000 0.7459  1 Na 3.27, 4 Tl 3.38-3.45, 3 In 3.38
Tl 0.0000 0.0000 0.2541  1 Na 3.27, 4 Tl 3.38-3.45, 3 In 3.38
In 0.3333 0.6667 0.9029  1 In 3.25, 7 Tl 3.26-3.43
In 0.6667 0.3333 0.0971  1 In 3.25, 7 Tl 3.26-3.43
In 0.3333 0.6667 0.6590  1 In 3.25, 7 Tl 3.30-3.38
In 0.6667 0.3333 0.3410  1 In 3.25, 7 Tl 3.30-3.38



## NaTl12In7 (PBE-GGA)

Data for NaTl12In7 after structural relaxation.

Output
Formation enthalpy at 0 K in eV/atom: 0.023
Polymorph energy (0 for the lowest one) in meV/atom: 13
Final energy in eV/atom: -2.4208
Space-group type: R-3

Cell: 9.0264 9.0264 9.0264 Å, 107.72 107.72 107.72°
Closest atoms and distances in Å follow each position.
Atoms (fractional coordinates):
Na 0.0000 0.0000 0.0000  6 In 3.27, 6 Tl 3.41
Tl 0.9309 0.1699 0.7100  1 Tl 3.19, 2 In 3.26-3.37, 1 Na 3.41
Tl 0.8301 0.2900 0.0691  1 Tl 3.19, 2 In 3.26-3.37, 1 Na 3.41
Tl 0.5185 0.1809 0.6398  2 Tl 3.19-3.31, 4 In 3.23-3.51
Tl 0.8191 0.3602 0.4815  2 Tl 3.19-3.31, 4 In 3.23-3.51
Tl 0.2900 0.0691 0.8301  1 Tl 3.19, 2 In 3.26-3.37, 1 Na 3.41
Tl 0.3602 0.4815 0.8191  2 Tl 3.19-3.31, 4 In 3.23-3.51
Tl 0.6398 0.5185 0.1809  2 Tl 3.19-3.31, 4 In 3.23-3.51
Tl 0.7100 0.9309 0.1699  1 Tl 3.19, 2 In 3.26-3.37, 1 Na 3.41
Tl 0.1809 0.6398 0.5185  2 Tl 3.19-3.31, 4 In 3.23-3.51
Tl 0.4815 0.8191 0.3602  2 Tl 3.19-3.31, 4 In 3.23-3.51
Tl 0.1699 0.7100 0.9309  1 Tl 3.19, 2 In 3.26-3.37, 1 Na 3.41
Tl 0.0691 0.8301 0.2900  1 Tl 3.19, 2 In 3.26-3.37, 1 Na 3.41
In 0.7704 0.5881 0.8746  1 In 3.19, 5 Tl 3.23-3.47, 1 Na 3.27
In 0.4119 0.1254 0.2296  1 In 3.19, 5 Tl 3.23-3.47, 1 Na 3.27
In 0.1254 0.2296 0.4119  1 In 3.19, 5 Tl 3.23-3.47, 1 Na 3.27
In 0.5000 0.5000 0.5000  6 In 3.19, 6 Tl 3.51
In 0.8746 0.7704 0.5881  1 In 3.19, 5 Tl 3.23-3.47, 1 Na 3.27
In 0.5881 0.8746 0.7704  1 In 3.19, 5 Tl 3.23-3.47, 1 Na 3.27
In 0.2296 0.4119 0.1254  1 In 3.19, 5 Tl 3.23-3.47, 1 Na 3.27



## Na6Tl12In (PBE-GGA)

Data for Na6Tl12In after structural relaxation.

Output
Formation enthalpy at 0 K in eV/atom: -0.080
Polymorph energy (0 for the lowest one) in meV/atom: 0
Final energy in eV/atom: -2.1351
Space-group type: R-3

Cell: 9.0756 9.0756 9.0756 Å, 110.59 110.59 110.59°
Closest atoms and distances in Å follow each position.
Atoms (fractional coordinates):
Na 0.6347 0.4202 0.9384  9 Tl 3.34-3.51, 3 Na 3.50-3.55
Na 0.5798 0.0616 0.3653  9 Tl 3.34-3.51, 3 Na 3.50-3.55
Na 0.0616 0.3653 0.5798  9 Tl 3.34-3.51, 3 Na 3.50-3.55
Na 0.3653 0.5798 0.0616  9 Tl 3.34-3.51, 3 Na 3.50-3.55
Na 0.4202 0.9384 0.6347  9 Tl 3.34-3.51, 3 Na 3.50-3.55
Na 0.9384 0.6347 0.4202  9 Tl 3.34-3.51, 3 Na 3.50-3.55
Tl 0.3188 0.2065 0.4709  4 Na 3.34-3.48, 7 Tl 3.40-3.52, 1 In 3.47
Tl 0.2065 0.4709 0.3188  4 Na 3.34-3.48, 7 Tl 3.40-3.52, 1 In 3.47
Tl 0.4709 0.3188 0.2065  4 Na 3.34-3.48, 7 Tl 3.40-3.52, 1 In 3.47
Tl 0.6812 0.7935 0.5291  4 Na 3.34-3.48, 7 Tl 3.40-3.52, 1 In 3.47
Tl 0.7935 0.5291 0.6812  4 Na 3.34-3.48, 7 Tl 3.40-3.52, 1 In 3.47
Tl 0.5291 0.6812 0.7935  4 Na 3.34-3.48, 7 Tl 3.40-3.52, 1 In 3.47
Tl 0.1625 0.1046 0.7402  5 Na 3.40-3.51, 6 Tl 3.40-3.54, 1 In 3.42
Tl 0.2598 0.8375 0.8954  5 Na 3.40-3.51, 6 Tl 3.40-3.54, 1 In 3.42
Tl 0.8954 0.2598 0.8375  5 Na 3.40-3.51, 6 Tl 3.40-3.54, 1 In 3.42
Tl 0.8375 0.8954 0.2598  5 Na 3.40-3.51, 6 Tl 3.40-3.54, 1 In 3.42
Tl 0.7402 0.1625 0.1046  5 Na 3.40-3.51, 6 Tl 3.40-3.54, 1 In 3.42
Tl 0.1046 0.7402 0.1625  5 Na 3.40-3.51, 6 Tl 3.40-3.54, 1 In 3.42
In 0.0000 0.0000 0.0000  12 Tl 3.42-3.47



## NaTlIn6 (PBE-GGA)

Data for NaTlIn6 after structural relaxation.

Output
Formation enthalpy at 0 K in eV/atom: -0.025
Final energy in eV/atom: -2.5398
Space-group type: Amm2

Cell: 5.6210 6.7331 6.7331 Å, 120.59 90.00 90.00°
Closest atoms and distances in Å follow each position.
Atoms (fractional coordinates):
Na 0.5000 0.1689 0.8311  2 Tl 3.34, 10 In 3.37-3.43
Tl 0.5000 0.6676 0.3324  2 Na 3.34, 10 In 3.35-3.42
In 0.5000 0.1688 0.3310  8 In 3.33-3.42, 2 Tl 3.35-3.38, 2 Na 3.37
In 0.5000 0.6690 0.8312  8 In 3.33-3.42, 2 Tl 3.35-3.38, 2 Na 3.37
In 0.0000 0.3304 0.1714  8 In 3.31-3.42, 2 Tl 3.42, 2 Na 3.43
In 0.0000 0.8286 0.6696  8 In 3.31-3.42, 2 Tl 3.42, 2 Na 3.43
In 0.0000 0.3348 0.6652  10 In 3.31-3.42, 2 Na 3.42
In 0.0000 0.8320 0.1680  10 In 3.34-3.42, 2 Tl 3.41



## Na5Tl2In4 (PBE-GGA)

Data for Na5Tl2In4 after structural relaxation.

Output
Formation enthalpy at 0 K in eV/atom: -0.036
Polymorph energy (0 for the lowest one) in meV/atom: 36
Final energy in eV/atom: -2.0618
Space-group type: C2/m

Cell: 6.4336 8.9385 6.8923 Å, 72.66 62.18 68.91°
Closest atoms and distances in Å follow each position.
Atoms (fractional coordinates):
Na 0.2559 0.1790 0.8107  4 Na 3.21-3.47, 4 In 3.35-3.50, 3 Tl 3.39-3.51
Na 0.7441 0.8210 0.1893  4 Na 3.21-3.47, 4 In 3.35-3.50, 3 Tl 3.39-3.51
Na 0.0000 0.5000 0.5000  4 In 3.23-3.26, 4 Na 3.43
Na 0.7544 0.1790 0.8107  4 Na 3.21-3.47, 4 In 3.35-3.50, 3 Tl 3.39-3.51
Na 0.2456 0.8210 0.1893  4 Na 3.21-3.47, 4 In 3.35-3.50, 3 Tl 3.39-3.51
Tl 0.2431 0.8384 0.6754  4 In 3.11-3.23, 4 Na 3.39-3.48
Tl 0.7569 0.1616 0.3246  4 In 3.11-3.23, 4 Na 3.39-3.48
In 0.2665 0.1621 0.3050  1 In 3.20, 3 Tl 3.22-3.23, 7 Na 3.23-3.50
In 0.7335 0.8379 0.6950  1 In 3.20, 3 Tl 3.22-3.23, 7 Na 3.23-3.50
In 0.7308 0.5040 0.0344  1 Tl 3.11, 3 In 3.20-3.25, 3 Na 3.26-3.35
In 0.2692 0.4960 0.9656  1 Tl 3.11, 3 In 3.20-3.25, 3 Na 3.26-3.35



## NaTl9In3 (PBE-GGA)

Data for NaTl9In3 after structural relaxation.

Output
Formation enthalpy at 0 K in eV/atom: 0.027
Final energy in eV/atom: -2.3448
Space-group type: P2_1/m

Cell: 9.0209 9.6545 9.3928 Å, 90.00 75.93 90.00°
Closest atoms and distances in Å follow each position.
Atoms (fractional coordinates):
Na 0.0880 0.2500 0.4614  8 Tl 3.25-3.53, 2 In 3.34
Na 0.9120 0.7500 0.5386  8 Tl 3.25-3.53, 2 In 3.34
Tl 0.1515 0.2500 0.7878  6 Tl 3.18-3.56, 2 In 3.22, 1 Na 3.25
Tl 0.1868 0.9177 0.6496  5 Tl 3.24-3.55, 3 In 3.26-3.41, 1 Na 3.33
Tl 0.1868 0.5823 0.6496  5 Tl 3.24-3.55, 3 In 3.26-3.41, 1 Na 3.33
Tl 0.1705 0.9302 0.2763  2 In 3.28-3.39, 7 Tl 3.35-3.56, 2 Na 3.43-3.53
Tl 0.1705 0.5698 0.2763  2 In 3.28-3.39, 7 Tl 3.35-3.56, 2 Na 3.43-3.53
Tl 0.5152 0.2500 0.7128  3 Tl 3.18-3.35, 4 In 3.51-3.52
Tl 0.3735 0.9261 0.9249  2 In 3.17-3.35, 4 Tl 3.29-3.41
Tl 0.3735 0.5739 0.9249  2 In 3.17-3.35, 4 Tl 3.29-3.41
Tl 0.2653 0.2500 0.1040  1 Na 3.35, 7 Tl 3.37-3.63, 2 In 3.69
Tl 0.7347 0.7500 0.8960  1 Na 3.35, 7 Tl 3.37-3.63, 2 In 3.69
Tl 0.6265 0.0739 0.0751  2 In 3.17-3.35, 4 Tl 3.29-3.41
Tl 0.6265 0.4261 0.0751  2 In 3.17-3.35, 4 Tl 3.29-3.41
Tl 0.4848 0.7500 0.2872  3 Tl 3.18-3.35, 4 In 3.51-3.52
Tl 0.8295 0.0698 0.7237  2 In 3.28-3.39, 7 Tl 3.35-3.56, 2 Na 3.43-3.53
Tl 0.8295 0.4302 0.7237  2 In 3.28-3.39, 7 Tl 3.35-3.56, 2 Na 3.43-3.53
Tl 0.8132 0.0823 0.3504  5 Tl 3.24-3.55, 3 In 3.26-3.41, 1 Na 3.33
Tl 0.8132 0.4177 0.3504  5 Tl 3.24-3.55, 3 In 3.26-3.41, 1 Na 3.33
Tl 0.8485 0.7500 0.2122  6 Tl 3.18-3.56, 2 In 3.22, 1 Na 3.25
In 0.0000 0.0000 0.0000  8 Tl 3.22-3.41
In 0.0000 0.5000 0.0000  8 Tl 3.22-3.41
In 0.5710 0.5955 0.5972  2 In 2.98-3.08, 3 Tl 3.17-3.28, 1 Na 3.34
In 0.5710 0.9045 0.5972  2 In 2.98-3.08, 3 Tl 3.17-3.28, 1 Na 3.34
In 0.4290 0.0955 0.4028  2 In 2.98-3.08, 3 Tl 3.17-3.28, 1 Na 3.34
In 0.4290 0.4045 0.4028  2 In 2.98-3.08, 3 Tl 3.17-3.28, 1 Na 3.34



## Na2Tl3In4 (PBE-GGA)

Data for Na2Tl3In4 after structural relaxation.

Output
Formation enthalpy at 0 K in eV/atom: -0.054
Polymorph energy (0 for the lowest one) in meV/atom: 17
Final energy in eV/atom: -2.3528
Space-group type: P-1

Cell: 5.8283 5.8616 9.0420 Å, 70.55 82.70 59.53°
Closest atoms and distances in Å follow each position.
Atoms (fractional coordinates):
Na 0.7186 0.1119 0.3307  5 Tl 3.25-3.37, 6 In 3.34-3.52
Na 0.2814 0.8881 0.6693  5 Tl 3.25-3.37, 6 In 3.34-3.52
Tl 0.6127 0.2212 0.6692  4 Na 3.25-3.37, 5 In 3.32-3.51, 2 Tl 3.43-3.45
Tl 0.0000 0.0000 0.0000  2 Na 3.32, 8 In 3.35-3.51, 2 Tl 3.45
Tl 0.3873 0.7788 0.3308  4 Na 3.25-3.37, 5 In 3.32-3.51, 2 Tl 3.43-3.45
In 0.3282 0.3331 0.9996  5 In 3.30-3.44, 5 Tl 3.32-3.51, 2 Na 3.46-3.52
In 0.9459 0.5531 0.6691  3 In 3.24-3.43, 4 Na 3.34-3.44, 4 Tl 3.35-3.51
In 0.0541 0.4469 0.3309  3 In 3.24-3.43, 4 Na 3.34-3.44, 4 Tl 3.35-3.51
In 0.6718 0.6669 0.0004  5 In 3.30-3.44, 5 Tl 3.32-3.51, 2 Na 3.46-3.52



The lowest final energy belongs to which entry? NaTlIn6